Computed, not measured: a relaxed LiAc5Tl8 crystal at the PBE-GGA level of DFT.

Unit cell a=8.484 b=8.484 c=8.484 alpha=108.76 beta=110.91 gamma=108.76
Element x y z (fractional)
Tl 0.121 0.706 0.993
Tl 0.585 0.873 0.879
Tl 0.440 0.590 0.162
Tl 0.838 0.278 0.428
Tl 0.007 0.127 0.712
Tl 0.288 0.294 0.415
Tl 0.572 0.410 0.850
Tl 0.150 0.722 0.560
Li 0.250 0.500 0.750
Ac 0.384 0.134 0.037
Ac 0.750 0.653 0.616
Ac 0.903 0.866 0.250
Ac 0.500 0.000 0.500
Ac 0.963 0.347 0.097

Fermi-level density of states: 0.7204 states/eV per atom
formation energy from the elements: -0.275 eV/atom
spin magnetization: 0.0 μB/f.u.
total energy: -0.11874 hartree per atom

Computed, not measured: a relaxed La5Pm3Sm4 crystal at the PBE-GGA level of DFT.

Unit cell a=6.108 b=8.873 c=9.887 alpha=60.04 beta=72.01 gamma=69.87
Last column: magnetic moment on the atom in μB.
Element x y z (fractional)
La 0.793 0.696 0.718  0.00
La 0.577 0.049 0.798  0.00
La 0.423 0.951 0.202  0.00
La 0.500 0.500 0.500  0.14
La 0.207 0.304 0.282  0.00
Sm 0.920 0.227 0.933  0.00
Sm 0.792 0.046 0.370  0.00
Sm 0.208 0.954 0.630  0.00
Sm 0.080 0.773 0.067  0.00
Pm 0.675 0.542 0.107  0.00
Pm 0.325 0.458 0.893  0.00
Pm 0.000 0.500 0.500  0.15

excess energy over the best structure of this formula in the dataset: 182.2 meV/atom
Fermi-level density of states: 1.6704 states/eV per atom
formation energy from the elements: 0.200 eV/atom
spin magnetization: 0.4 μB/f.u.
total energy: -0.16956 hartree per atom

Computed, not measured: a relaxed Ca3Si crystal at the PBE-GGA level of DFT.

Unit cell a=3.630 b=3.630 c=9.672 alpha=90.00 beta=90.00 gamma=90.01
Element x y z (fractional)
Ca 0.000 0.000 0.430
Ca 0.000 0.000 0.070
Ca 0.500 0.500 0.750
Si 0.500 0.500 0.250

excess energy over the best structure of this formula in the dataset: 118.0 meV/atom
Fermi-level density of states: 0.5899 states/eV per atom
spin magnetization: 0.0 μB/f.u.
total energy: -0.11124 hartree per atom
formation energy from raw total energies: -0.7 eV per formula unit

Computed, not measured: a relaxed Tb2PmSmTl2 crystal at the PBE-GGA level of DFT.

Unit cell a=5.173 b=6.846 c=10.164 alpha=90.00 beta=90.00 gamma=90.00
Element x y z (fractional)
Tl 0.000 0.798 0.131
Tl 0.500 0.217 0.359
Tl 0.000 0.298 0.869
Tl 0.500 0.717 0.641
Pm 0.000 0.960 0.459
Pm 0.000 0.460 0.541
Tb 0.500 0.052 0.041
Tb 0.500 0.552 0.959
Tb 0.000 0.831 0.817
Tb 0.000 0.331 0.183
Sm 0.500 0.687 0.313
Sm 0.500 0.187 0.687

Fermi-level density of states: 1.0605 states/eV per atom
formation energy from the elements: -0.272 eV/atom
spin magnetization: 0.0 μB/f.u.
total energy: -0.15371 hartree per atom

Computed, not measured: a relaxed NaInAs2 crystal at the PBE-GGA level of DFT.

Unit cell a=3.708 b=3.708 c=8.385 alpha=77.22 beta=77.22 gamma=60.00
Element x y z (fractional)
As 0.259 0.259 0.224
As 0.741 0.741 0.776
Na 0.500 0.500 0.500
In 0.000 0.000 0.000

Fermi-level density of states: 0.4340 states/eV per atom
formation energy from the elements: -0.044 eV/atom
spin magnetization: 0.0 μB/f.u.
total energy: -0.12434 hartree per atom

Computed, not measured: a relaxed MgIn8Pd6 crystal at the PBE-GGA level of DFT.

Unit cell a=7.217 b=7.217 c=7.217 alpha=66.81 beta=66.81 gamma=66.81
Element x y z (fractional)
In 0.879 0.208 0.560
In 0.668 0.668 0.668
In 0.121 0.792 0.440
In 0.440 0.121 0.792
In 0.560 0.879 0.208
In 0.332 0.332 0.332
In 0.208 0.560 0.879
In 0.792 0.440 0.121
Pd 0.283 0.951 0.617
Pd 0.617 0.283 0.951
Pd 0.951 0.617 0.283
Pd 0.717 0.049 0.383
Pd 0.383 0.717 0.049
Pd 0.049 0.383 0.717
Mg 0.000 0.000 0.000

Fermi-level density of states: 0.3969 states/eV per atom
formation energy from the elements: -0.499 eV/atom
spin magnetization: 0.0 μB/f.u.
total energy: -0.15224 hartree per atom

Computed, not measured: a relaxed GeSbCl crystal at the PBE-GGA level of DFT.

Unit cell a=4.191 b=6.962 c=7.021 alpha=86.22 beta=90.14 gamma=90.00
Element x y z (fractional)
Cl 0.983 0.285 0.872
Cl 0.986 0.817 0.538
Sb 0.484 0.702 0.055
Sb 0.486 0.400 0.355
Ge 0.985 0.872 0.222
Ge 0.985 0.230 0.188

spin magnetization: 0.0 μB/f.u.
total energy: -0.14231 hartree per atom
formation energy from raw total energies: -1.0 eV per formula unit

Computed, not measured: a relaxed Be2GeAu2 crystal at the PBE-GGA level of DFT.

Unit cell a=7.248 b=7.248 c=2.798 alpha=90.00 beta=90.00 gamma=90.00
Element x y z (fractional)
Be 0.854 0.354 0.500
Be 0.146 0.646 0.500
Be 0.646 0.854 0.500
Be 0.354 0.146 0.500
Au 0.851 0.649 0.000
Au 0.351 0.851 0.000
Au 0.149 0.351 0.000
Au 0.649 0.149 0.000
Ge 0.000 0.000 0.000
Ge 0.500 0.500 0.000

excess energy over the best structure of this formula in the dataset: 0.0 meV/atom
Fermi-level density of states: 0.1451 states/eV per atom
formation energy from the elements: 0.060 eV/atom
spin magnetization: 0.0 μB/f.u.
total energy: -0.13469 hartree per atom

> Which value of spin magnetization does entry 2 give?

0.4 μB/f.u.

> Number 5 is which compound?

NaInAs2